DFT (PBE+U) results for a geometry-optimized RbCaV2O6 structure.

Lattice parameters (Å, degrees): 10.870 10.343 5.980 90.00 103.82 90.00
Space group C2/c (No. 15)
Inequivalent atoms, fractional coordinates:
Rb (0.000, 0.183, 0.250) x4
Ca (0.000, 0.399, 0.750) x4
V (0.220, 0.087, 0.794) x8
O (0.115, 0.420, 0.136) x8
O (0.149, 0.236, 0.733) x8
O (0.164, 0.010, 0.030) x8

Properties
**Calculated volume**: 163.2 Å³/f.u.
**Total energy**: -6.974 eV per atom
**Total magnetic moment**: 4.00 μB/cell